[1]
Compound: Pm3SbTe
Source: the Alexandria database
Functional: PBE-GGA
Structure: optimized geometry

a = 7.4658 Å, b = 9.8108 Å, c = 9.8108 Å
α = 75.75°, β = 77.69°, γ = 77.69°
Element x y z (fractional)
Pm1 0.4762 0.2420 0.0512
Pm2 0.9762 0.0512 0.2420
Te1 0.7500 0.9347 0.0653
Pm3 0.5238 0.7580 0.9488
Te2 0.2500 0.0653 0.9347
Sb1 0.2653 0.1347 0.3883
Pm4 0.4139 0.4489 0.3529
Pm5 0.0313 0.3700 0.8501
Te3 0.7500 0.2381 0.7619
Pm6 0.5313 0.8501 0.3700
Te4 0.2500 0.7619 0.2381
Sb2 0.7347 0.8653 0.6117
Sb3 0.2347 0.6117 0.8653
Pm7 0.9687 0.6300 0.1499
Pm8 0.0238 0.9488 0.7580
Pm9 0.0861 0.6471 0.5511
Pm10 0.9139 0.3529 0.4489
Pm11 0.5861 0.5511 0.6471
Pm12 0.4687 0.1499 0.6300
Sb4 0.7653 0.3883 0.1347

Computed properties:
**M_tot**: 0.0 μB per cell
**Uncorrected formation energy**: -0.861 eV per atom

---

[2]
Compound: PmSb2Te
Source: the Alexandria database
Functional: PBE-GGA
Structure: optimized geometry

a = 5.9521 Å, b = 4.4273 Å, c = 4.4273 Å
α = 90.00°, β = 90.00°, γ = 90.00°
Element x y z (fractional)
Te1 0.5000 0.0000 0.0000
Sb1 0.0000 0.0000 0.5000
Pm1 0.5000 0.5000 0.5000
Sb2 0.0000 0.5000 0.0000

Computed properties:
**M_tot**: 0.0 μB per cell
**Uncorrected formation energy**: -0.544 eV per atom

---

[3]
Compound: Pm5Sb5Te
Source: the Alexandria database
Functional: PBE-GGA
Structure: optimized geometry

a = 6.2765 Å, b = 7.7395 Å, c = 8.9865 Å
α = 107.23°, β = 90.00°, γ = 113.92°
Element x y z (fractional)
Sb1 0.3385 0.6771 0.6651
Pm1 0.1707 0.3415 0.8316
Sb2 0.3393 0.6786 0.1754
Pm2 0.5000 0.0000 0.0000
Pm3 0.8293 0.6585 0.1684
Sb3 0.6615 0.3229 0.3349
Pm4 0.1702 0.3404 0.3383
Sb4 0.6607 0.3214 0.8246
Pm5 0.8298 0.6596 0.6617
Te1 0.0000 0.0000 0.0000
Sb5 0.0000 0.0000 0.5000

Computed properties:
**M_tot**: 0.0 μB per cell
**Uncorrected formation energy**: -0.958 eV per atom